Tb3PmSm5 | PBE | optimized geometry

abc: 9.403 9.403 12.447
angles: 126.61 126.61 51.76
Element x y z (fractional)
1 Tb 0.000 0.000 0.000
2 Tb 0.110 0.110 0.812
3 Tb 0.320 0.320 0.156
4 Tb 0.500 0.500 0.500
5 Tb 0.680 0.680 0.844
6 Tb 0.890 0.890 0.188
7 Pm 0.263 0.263 0.369
8 Pm 0.737 0.737 0.631
9 Sm 0.182 0.818 0.500
10 Sm 0.195 0.195 0.561
11 Sm 0.236 0.638 0.724
12 Sm 0.362 0.764 0.276
13 Sm 0.367 0.367 0.926
14 Sm 0.633 0.633 0.074
15 Sm 0.638 0.236 0.724
16 Sm 0.764 0.362 0.276
17 Sm 0.805 0.805 0.439
18 Sm 0.818 0.182 0.500

Properties
Its calculated formation energy is 0.40 eV/atom. Its energy above the most stable polymorph in this dataset is 0.234 eV per atom.